(1)
Entry from Alexandria via LeMat-Bulk: a geometry-optimized CePrS structure (PBE-GGA).

## Properties
excess energy over the best structure of this formula in the dataset: 0.0658 eV per atom
size of the total moment: 0.305 μB per atom

Geometry as CIF:
```
data_CePrS
_space_group_name_H-M_alt 'C m c e'
_space_group_IT_number 64
_space_group_name_Hall '-C 2ac 2'
_cell_length_a 8.4835
_cell_length_b 10.7461
_cell_length_c 7.4945
_cell_angle_alpha 90.00
_cell_angle_beta 90.00
_cell_angle_gamma 90.00
loop_
_atom_site_label
_atom_site_type_symbol
_atom_site_fract_x
_atom_site_fract_y
_atom_site_fract_z
Ce1 Ce 0.0000 0.1995 0.1582
Pr1 Pr 0.2065 0.0000 0.5000
S1 S 0.0000 0.0642 0.7973
```

(2)
Entry from Alexandria via LeMat-Bulk: a geometry-optimized AcAl3Ge3 structure (PBE-GGA).

## Properties
ΔE_f: -0.146 eV/atom
excess energy over the best structure of this formula in the dataset: 0.1338 eV per atom
size of the total moment: 0.000 μB per atom

Geometry as CIF:
```
data_AcAl3Ge3
_space_group_name_H-M_alt 'P 63/m'
_space_group_IT_number 176
_space_group_name_Hall '-P 6c'
_cell_length_a 9.4718
_cell_length_b 9.4718
_cell_length_c 4.0257
_cell_angle_alpha 90.00
_cell_angle_beta 90.00
_cell_angle_gamma 120.00
loop_
_atom_site_label
_atom_site_type_symbol
_atom_site_fract_x
_atom_site_fract_y
_atom_site_fract_z
Ac1 Ac 0.3333 0.6667 0.2500
Al1 Al 0.0535 0.7960 0.7500
Ge1 Ge 0.0414 0.4109 0.7500
```

(3)
Entry from Alexandria via LeMat-Bulk: a geometry-optimized ScAuCl3 structure (PBE-GGA).

## Properties
excess energy over the best structure of this formula in the dataset: 0.0000 eV per atom
size of the total moment: 0.101 μB per atom

Geometry as CIF:
```
data_ScAuCl3
_space_group_name_H-M_alt 'P m -3 m'
_space_group_IT_number 221
_space_group_name_Hall '-P 4 2 3'
_cell_length_a 5.0000
_cell_length_b 5.0000
_cell_length_c 5.0000
_cell_angle_alpha 90.00
_cell_angle_beta 90.00
_cell_angle_gamma 90.00
loop_
_atom_site_label
_atom_site_type_symbol
_atom_site_fract_x
_atom_site_fract_y
_atom_site_fract_z
Sc1 Sc 0.0000 0.0000 0.0000
Au1 Au 0.5000 0.5000 0.5000
Cl1 Cl 0.0000 0.0000 0.5000
```

(4)
Entry from Alexandria via LeMat-Bulk: a geometry-optimized AlPt2Br structure (PBE-GGA).

## Properties
excess energy over the best structure of this formula in the dataset: 0.6240 eV per atom
size of the total moment: 0.000 μB per atom

Geometry as CIF:
```
data_AlPt2Br
_space_group_name_H-M_alt 'C m m m'
_space_group_IT_number 65
_space_group_name_Hall '-C 2 2'
_cell_length_a 5.9378
_cell_length_b 7.4516
_cell_length_c 3.0620
_cell_angle_alpha 90.00
_cell_angle_beta 90.00
_cell_angle_gamma 90.00
loop_
_atom_site_label
_atom_site_type_symbol
_atom_site_fract_x
_atom_site_fract_y
_atom_site_fract_z
Al1 Al 0.0000 0.0000 0.0000
Pt1 Pt 0.2500 0.2500 0.5000
Br1 Br 0.0000 0.5000 0.0000
```

(5)
Entry from Alexandria via LeMat-Bulk: a geometry-optimized B2SCl structure (PBE-GGA).

## Properties
excess energy over the best structure of this formula in the dataset: 0.0000 eV per atom
size of the total moment: 0.000 μB per atom

Geometry as CIF:
```
data_B2SCl
_space_group_name_H-M_alt 'I -4 2 d'
_space_group_IT_number 122
_space_group_name_Hall 'I -4 2bw'
_cell_length_a 4.3060
_cell_length_b 4.3060
_cell_length_c 12.6464
_cell_angle_alpha 90.00
_cell_angle_beta 90.00
_cell_angle_gamma 90.00
loop_
_atom_site_label
_atom_site_type_symbol
_atom_site_fract_x
_atom_site_fract_y
_atom_site_fract_z
B1 B 0.0032 0.2500 0.1250
S1 S 0.0000 0.0000 0.0000
Cl1 Cl 0.0000 0.0000 0.5000
```

(6)
Entry from Alexandria via LeMat-Bulk: a geometry-optimized PmPr2In6 structure (PBE-GGA).

## Properties
ΔE_f: -0.471 eV/atom
size of the total moment: 0.000 μB per atom

Geometry as CIF:
```
data_PmPr2In6
_space_group_name_H-M_alt 'P 6/m m m'
_space_group_IT_number 191
_space_group_name_Hall '-P 6 2'
_cell_length_a 8.6878
_cell_length_b 8.6878
_cell_length_c 3.7427
_cell_angle_alpha 90.00
_cell_angle_beta 90.00
_cell_angle_gamma 120.00
loop_
_atom_site_label
_atom_site_type_symbol
_atom_site_fract_x
_atom_site_fract_y
_atom_site_fract_z
Pm1 Pm 0.0000 0.0000 0.0000
Pr1 Pr 0.3333 0.6667 0.0000
In1 In 0.0000 0.3325 0.5000
```